(1)
TmHf3C2Se2: relaxed, PBE-GGA.

SG = P3m1, No. 156
V = 133.1 Å³ per cell
Total DFT energy (no corrections) = -8.637 eV per atom

Geometry as extended XYZ:
```
8
Lattice="3.480 0.000 0.000 -1.740 3.013 0.000 0.000 0.000 12.690" Properties=species:S:1:pos:R:3 pbc="T T T"
Tm 0.000 0.000 0.000
Hf 0.000 0.000 3.951
Hf 0.000 2.009 6.303
Hf 0.000 2.009 10.176
C 1.740 1.004 5.131
C 1.740 1.004 11.291
Se 0.000 0.000 8.229
Se 0.000 2.009 2.070
```

(2)
Dy3Er2Lu3: relaxed, PBE-GGA.

SG = Amm2, No. 38
Formation energy = 0.0038 eV/atom
V = 242.9 Å³ per cell
Total DFT energy (no corrections) = -4.559 eV per atom

Geometry as extended XYZ:
```
8
Lattice="5.531 0.000 0.000 0.000 3.560 6.166 0.000 -3.560 6.166" Properties=species:S:1:pos:R:3 pbc="T T T"
Dy 0.000 0.000 0.000
Dy 2.766 -1.781 5.144
Dy 2.766 1.781 5.144
Er 0.000 0.000 6.164
Er 2.766 0.000 2.056
Lu 0.000 -1.778 3.088
Lu 0.000 1.778 3.088
Lu 2.766 0.000 8.223
```

(3)
RbHfAu3Se4: relaxed, PBE-GGA.

SG = P2_1/m, No. 11
Energy above the lowest structure with this stoichiometry = 0.000 eV/atom
V = 475.2 Å³ per cell
Total DFT energy (no corrections) = -4.472 eV per atom

Geometry as extended XYZ:
```
18
Lattice="6.227 0.000 0.000 0.000 7.768 0.000 -3.046 0.000 9.825" Properties=species:S:1:pos:R:3 pbc="T T T"
Rb -0.142 1.942 3.799
Rb 3.323 5.826 6.026
Hf 1.533 5.826 2.067
Hf 1.647 1.942 7.758
Au -1.451 1.942 7.498
Au 1.812 0.491 0.168
Au 1.812 3.393 0.168
Au 1.368 4.375 9.657
Au 1.368 7.278 9.657
Au 4.632 5.826 2.327
Se -2.581 5.826 9.519
Se 0.140 5.826 4.160
Se 0.223 4.032 7.336
Se 0.223 7.621 7.336
Se 2.957 0.148 2.489
Se 2.957 3.736 2.489
Se 3.041 1.942 5.664
Se 5.761 1.942 0.306
```